First-principles (GGA-PBE) data for crystalline SrHf2Tl2 at its relaxed geometry, as listed in Alexandria.

**Formation energy**: 75.3 kJ/mol of formula units
**Calculated total energy**: -5.11 eV/atom
**Excess energy over the best structure of this formula in the dataset**: 0.000 eV per atom
**D(E_F)**: 2.20 states/eV/f.u.
**M_tot**: 0.00 μB/f.u.

Cell: 8.9646 8.9646 3.2969 Å, 90.00 90.00 90.00°
Element x y z (fractional)
Sr 0.5000 0.5000 0.0000
Sr 0.0000 0.0000 0.0000
Tl 0.3306 0.8306 0.0000
Tl 0.8306 0.6694 0.0000
Tl 0.6694 0.1694 0.0000
Tl 0.1694 0.3306 0.0000
Hf 0.3748 0.1252 0.5000
Hf 0.6252 0.8748 0.5000
Hf 0.8748 0.3748 0.5000
Hf 0.1252 0.6252 0.5000

=====

First-principles (GGA-PBE) data for crystalline Ba4CaHg at its relaxed geometry, as listed in Alexandria.

**Formation energy**: -92.5 kJ/mol of formula units
**Calculated total energy**: -1.83 eV/atom
**Excess energy over the best structure of this formula in the dataset**: 0.000 eV per atom
**D(E_F)**: 8.68 states/eV/f.u.
**M_tot**: 0.00 μB/f.u.

Cell: 4.2983 4.2983 16.6818 Å, 90.00 90.00 90.00°
Element x y z (fractional)
Ca 0.0000 0.0000 0.0000
Ba 0.4999 0.4999 0.8278
Ba 0.0001 0.0001 0.3809
Ba 0.9999 0.9999 0.6191
Ba 0.5001 0.5001 0.1722
Hg 0.5000 0.5000 0.5000

=====

First-principles (GGA-PBE) data for crystalline Dy5Er3N8 at its relaxed geometry, as listed in Alexandria.

**Raw formation energy**: -167.2 kJ/mol of atoms
**Calculated total energy**: -8.19 eV/atom
**D(E_F)**: 0.55 states/eV/f.u.
**M_tot**: 0.00 μB/f.u.

Cell: 6.9150 6.9150 6.9130 Å, 59.99 59.99 60.00°
Element x y z (fractional)
N 0.7500 0.7500 0.2518
N 0.2491 0.2491 0.2527
N 0.2500 0.7518 0.7482
N 0.7500 0.2482 0.2518
N 0.7518 0.2500 0.7482
N 0.7509 0.7509 0.7473
N 0.2500 0.2500 0.7482
N 0.2482 0.7500 0.2518
Dy 0.5000 0.5000 0.5000
Dy 0.5000 0.0000 0.0000
Dy 0.5000 0.5000 0.0000
Dy 0.0000 0.0000 0.0000
Dy 0.0000 0.5000 0.0000
Er 0.0000 0.5000 0.5000
Er 0.0000 0.0000 0.5000
Er 0.5000 0.0000 0.5000

=====

First-principles (GGA-PBE) data for crystalline K14Mg2Te9 at its relaxed geometry, as listed in Alexandria.

**Raw formation energy**: -97.8 kJ/mol of atoms
**Calculated total energy**: -2.89 eV/atom
**D(E_F)**: 0.00 states/eV/f.u.
**M_tot**: 0.00 μB/f.u.

Cell: 9.7396 9.7396 13.7759 Å, 90.00 90.00 120.00°
Element x y z (fractional)
K 0.6211 0.6889 0.5931
K 0.6889 0.0678 0.4069
K 0.6737 0.6422 0.0920
K 0.0315 0.6737 0.9080
K 0.0000 0.0000 0.7481
K 0.0000 0.0000 0.2519
K 0.3263 0.3578 0.9080
K 0.3789 0.3111 0.4069
K 0.9322 0.6211 0.4069
K 0.3111 0.9322 0.5931
K 0.3578 0.0315 0.0920
K 0.6422 0.9685 0.9080
K 0.9685 0.3263 0.0920
K 0.0678 0.3789 0.5931
Te 0.0695 0.3717 0.3352
Te 0.9305 0.6283 0.6648
Te 0.6283 0.6978 0.3352
Te 0.6978 0.0695 0.6648
Te 0.3333 0.6667 0.0520
Te 0.3022 0.9305 0.3352
Te 0.0000 0.0000 0.0000
Te 0.6667 0.3333 0.9480
Te 0.3717 0.3022 0.6648
Mg 0.3333 0.6667 0.2636
Mg 0.6667 0.3333 0.7364

=====

First-principles (GGA-PBE) data for crystalline HIr2I at its relaxed geometry, as listed in Alexandria.

**Calculated total energy**: -4.29 eV/atom
**Excess energy over the best structure of this formula in the dataset**: 0.640 eV per atom
**D(E_F)**: 4.52 states/eV/f.u.
**M_tot**: 0.81 μB/f.u.

Cell: 4.3872 4.3872 4.3872 Å, 60.00 60.00 60.00°
Element x y z (fractional)
I 0.5000 0.5000 0.5000
Ir 0.7500 0.7500 0.7500
Ir 0.2500 0.2500 0.2500
H 0.0000 0.0000 0.0000

=====

First-principles (GGA-PBE) data for crystalline DyHoErTh at its relaxed geometry, as listed in Alexandria.

**Formation energy**: 55.3 kJ/mol of formula units
**Calculated total energy**: -5.15 eV/atom
**Excess energy over the best structure of this formula in the dataset**: 0.139 eV per atom
**D(E_F)**: 8.24 states/eV/f.u.
**M_tot**: 0.00 μB/f.u.

Cell: 5.6419 5.6419 5.6419 Å, 60.00 60.00 60.00°
Element x y z (fractional)
Er 0.2500 0.2500 0.2500
Th 0.5000 0.5000 0.5000
Ho 0.7500 0.7500 0.7500
Dy 0.0000 0.0000 0.0000

=====

First-principles (GGA-PBE) data for crystalline La2PrTh4 at its relaxed geometry, as listed in Alexandria.

**Formation energy**: 43.7 kJ/mol of formula units
**Calculated total energy**: -6.27 eV/atom
**D(E_F)**: 11.08 states/eV/f.u.
**M_tot**: 0.00 μB/f.u.

Cell: 3.6010 3.5998 18.6455 Å, 90.00 95.54 90.00°
Element x y z (fractional)
La 0.2041 0.5000 0.4081
La 0.7959 0.5000 0.5919
Th 0.0720 0.5000 0.1441
Th 0.3631 0.0000 0.7261
Th 0.6369 0.0000 0.2739
Th 0.9280 0.5000 0.8559
Pr 0.5000 0.0000 0.0000

=====

First-principles (GGA-PBE) data for crystalline LaMnCo2 at its relaxed geometry, as listed in Alexandria.

**Formation energy**: 96.9 kJ/mol of formula units
**Calculated total energy**: -6.83 eV/atom
**D(E_F)**: 2.89 states/eV/f.u.
**M_tot**: 5.20 μB/f.u.

Cell: 4.4238 4.4238 3.3523 Å, 90.01 90.01 90.02°
Element x y z (fractional)
Co 0.5000 0.5000 0.0000
Co 0.0000 0.0000 0.0000
Mn 0.0000 0.5000 0.5000
La 0.5000 0.0000 0.5000

=====

First-principles (GGA-PBE) data for crystalline Y5Hg at its relaxed geometry, as listed in Alexandria.

**Formation energy**: -56.0 kJ/mol of formula units
**Calculated total energy**: -5.53 eV/atom
**Excess energy over the best structure of this formula in the dataset**: 0.054 eV per atom
**D(E_F)**: 7.32 states/eV/f.u.
**M_tot**: 0.00 μB/f.u.

Cell: 9.0970 9.0970 5.4923 Å, 90.00 90.00 156.69°
Element x y z (fractional)
Y 0.1109 0.8891 0.5000
Y 0.7793 0.2207 0.5000
Y 0.4547 0.5453 0.5000
Y 0.3320 0.6680 0.0000
Y 0.6570 0.3430 0.0000
Hg 0.9994 0.0006 0.0000

=====

First-principles (GGA-PBE) data for crystalline Ag2HgPbI6 at its relaxed geometry, as listed in Alexandria.

**Raw formation energy**: -33.5 kJ/mol of atoms
**Calculated total energy**: -2.25 eV/atom
**D(E_F)**: 0.00 states/eV/f.u.
**M_tot**: 0.00 μB/f.u.

Cell: 7.9906 8.0391 8.9775 Å, 72.52 54.65 59.16°
Element x y z (fractional)
I 0.9493 0.5002 0.2579
I 0.6542 0.1716 0.7533
I 0.3551 0.8114 0.7666
I 0.0358 0.5071 0.7251
I 0.6734 0.1899 0.2190
I 0.3599 0.7986 0.2519
Ag 0.4706 0.5242 0.5472
Ag 0.9805 0.1661 0.8028
Hg 0.3540 0.1628 0.1897
Pb 0.8288 0.8297 0.5017

=====

First-principles (GGA-PBE) data for crystalline LaHo5Ag4 at its relaxed geometry, as listed in Alexandria.

**Formation energy**: -244.0 kJ/mol of formula units
**Calculated total energy**: -4.17 eV/atom
**D(E_F)**: 7.49 states/eV/f.u.
**M_tot**: 0.00 μB/f.u.

Cell: 3.5906 3.5906 19.9689 Å, 90.00 90.00 90.00°
Element x y z (fractional)
Ag 0.0000 0.0000 0.7773
Ag 0.0000 0.0000 0.4079
Ag 0.0000 0.0000 0.5921
Ag 0.0000 0.0000 0.2227
Ho 0.5000 0.5000 0.6850
Ho 0.5000 0.5000 0.8676
Ho 0.5000 0.5000 0.3150
Ho 0.5000 0.5000 0.5000
Ho 0.5000 0.5000 0.1324
La 0.0000 0.0000 0.0000

=====

First-principles (GGA-PBE) data for crystalline Ca2Ti6N2O11 at its relaxed geometry, as listed in Alexandria.

**Raw formation energy**: -266.0 kJ/mol of atoms
**Calculated total energy**: -8.59 eV/atom
**Excess energy over the best structure of this formula in the dataset**: 0.011 eV per atom
**D(E_F)**: 0.00 states/eV/f.u.
**M_tot**: 0.00 μB/f.u.

Cell: 7.7284 7.7284 9.4550 Å, 79.44 79.44 28.36°
Element x y z (fractional)
O 0.1207 0.1207 0.4051
O 0.0579 0.0579 0.7215
O 0.3527 0.3527 0.1179
O 0.6259 0.6259 0.9161
O 0.7519 0.7519 0.2442
O 0.1466 0.1466 0.1120
O 0.9924 0.9924 0.0119
O 0.2949 0.2949 0.4278
O 0.6962 0.6962 0.5788
O 0.8414 0.8414 0.8997
O 0.9344 0.9344 0.2872
N 0.8777 0.8777 0.6096
N 0.2316 0.2316 0.7597
Ti 0.2170 0.2170 0.2492
Ti 0.8701 0.8701 0.0805
Ti 0.7711 0.7711 0.7513
Ti 0.1636 0.1636 0.5805
Ti 0.1197 0.1197 0.9069
Ti 0.8370 0.8370 0.4346
Ca 0.5247 0.5247 0.1819
Ca 0.4500 0.4500 0.7340

=====

Which value of D(E_F) does entry 12 give? 0.00 states/eV/f.u.

=====

Number 8 is which compound? LaMnCo2

=====

Copy entry 4 word for word.
First-principles (GGA-PBE) data for crystalline K14Mg2Te9 at its relaxed geometry, as listed in Alexandria.

**Raw formation energy**: -97.8 kJ/mol of atoms
**Calculated total energy**: -2.89 eV/atom
**D(E_F)**: 0.00 states/eV/f.u.
**M_tot**: 0.00 μB/f.u.

Cell: 9.7396 9.7396 13.7759 Å, 90.00 90.00 120.00°
Element x y z (fractional)
K 0.6211 0.6889 0.5931
K 0.6889 0.0678 0.4069
K 0.6737 0.6422 0.0920
K 0.0315 0.6737 0.9080
K 0.0000 0.0000 0.7481
K 0.0000 0.0000 0.2519
K 0.3263 0.3578 0.9080
K 0.3789 0.3111 0.4069
K 0.9322 0.6211 0.4069
K 0.3111 0.9322 0.5931
K 0.3578 0.0315 0.0920
K 0.6422 0.9685 0.9080
K 0.9685 0.3263 0.0920
K 0.0678 0.3789 0.5931
Te 0.0695 0.3717 0.3352
Te 0.9305 0.6283 0.6648
Te 0.6283 0.6978 0.3352
Te 0.6978 0.0695 0.6648
Te 0.3333 0.6667 0.0520
Te 0.3022 0.9305 0.3352
Te 0.0000 0.0000 0.0000
Te 0.6667 0.3333 0.9480
Te 0.3717 0.3022 0.6648
Mg 0.3333 0.6667 0.2636
Mg 0.6667 0.3333 0.7364